No. 1
# CsRb2GaPb

An optimized crystal structure of CsRb2GaPb (PBE-GGA, the Alexandria database).

a = 7.035 Å, b = 7.035 Å, c = 5.587 Å
α = 90.00°, β = 90.00°, γ = 90.00°
Sites, in units of the cell vectors:
Pb  0.000  0.000  0.500
Cs  0.500  0.500  0.500
Ga  0.000  0.000  0.000
Rb  0.000  0.500  0.000
Rb  0.500  0.000  0.000

Formation enthalpy at 0 K   0.57 kcal/mol of atoms
DOS at the Fermi energy   2.7 states/eV per cell
Magnetization   0.087 μB/atom
Symmetry   P4/mmm (123)

No. 2
# LaTlPtAu

An optimized crystal structure of LaTlPtAu (PBE-GGA, the Alexandria database).

a = 5.104 Å, b = 5.104 Å, c = 5.104 Å
α = 60.00°, β = 60.00°, γ = 60.00°
Sites, in units of the cell vectors:
Tl  0.000  0.000  0.000
Au  0.250  0.250  0.250
Pt  0.750  0.750  0.750
La  0.500  0.500  0.500

Formation enthalpy at 0 K   -14.30 kcal/mol of atoms
DOS at the Fermi energy   2.9 states/eV per cell
Magnetization   0.000 μB/atom
Symmetry   F-43m (216)

No. 3
# Li2CdS

An optimized crystal structure of Li2CdS (PBE-GGA, the Alexandria database).

a = 7.145 Å, b = 7.145 Å, c = 7.402 Å
α = 61.14°, β = 61.14°, γ = 90.00°
Sites, in units of the cell vectors:
S  0.500  0.500  0.000
S  0.250  0.750  0.500
Li  0.388  0.125  0.250
Li  0.362  0.625  0.250
Li  0.375  0.612  0.750
Li  0.875  0.638  0.750
Cd  0.000  0.000  0.000
Cd  0.750  0.250  0.500

Raw formation energy   -0.602 eV/atom
DOS at the Fermi energy   0.0 states/eV per cell
Magnetization   0.000 μB/atom
Symmetry   I-42d (122)

No. 4
# Ni2HPt

An optimized crystal structure of Ni2HPt (PBE-GGA, the Alexandria database).

a = 2.610 Å, b = 2.610 Å, c = 6.160 Å
α = 90.00°, β = 90.00°, γ = 90.00°
Site moments in Bohr magnetons follow the coordinates.
Sites, in units of the cell vectors:
Ni  0.000  0.000  0.811  0.52
Ni  0.000  0.000  0.189  0.52
Pt  0.500  0.500  0.500  0.30
H  0.500  0.500  0.000  0.00

DOS at the Fermi energy   4.7 states/eV per cell
Magnetization   0.320 μB/atom
Symmetry   P4/mmm (123)
VASP energy   -5.02 eV/atom

No. 5
# Sm4InNi

An optimized crystal structure of Sm4InNi (PBE-GGA, the Alexandria database).

a = 9.796 Å, b = 9.796 Å, c = 9.796 Å
α = 60.00°, β = 60.00°, γ = 60.00°
Sites, in units of the cell vectors:
Sm  0.402  0.402  0.402
Sm  0.794  0.402  0.402
Sm  0.402  0.794  0.402
Sm  0.402  0.402  0.794
Sm  0.560  0.560  0.940
Sm  0.940  0.940  0.560
Sm  0.560  0.940  0.560
Sm  0.940  0.560  0.940
Sm  0.940  0.560  0.560
Sm  0.560  0.940  0.940
Sm  0.187  0.187  0.813
Sm  0.813  0.813  0.187
Sm  0.187  0.813  0.187
Sm  0.813  0.187  0.813
Sm  0.813  0.187  0.187
Sm  0.187  0.813  0.813
In  0.169  0.169  0.169
In  0.493  0.169  0.169
In  0.169  0.493  0.169
In  0.169  0.169  0.493
Ni  0.607  0.607  0.607
Ni  0.178  0.607  0.607
Ni  0.607  0.178  0.607
Ni  0.607  0.607  0.178

Formation enthalpy at 0 K   -7.26 kcal/mol of atoms
DOS at the Fermi energy   25.4 states/eV per cell
Magnetization   0.000 μB/atom
Symmetry   F-43m (216)

No. 6
# SrTeSe2

An optimized crystal structure of SrTeSe2 (PBE-GGA, the Alexandria database).

a = 4.274 Å, b = 4.274 Å, c = 7.910 Å
α = 90.00°, β = 90.00°, γ = 119.26°
Sites, in units of the cell vectors:
Se  0.000  0.000  0.990
Se  0.000  0.000  0.510
Sr  0.500  0.500  0.250
Te  0.500  0.500  0.750

Raw formation energy   -0.635 eV/atom
DOS at the Fermi energy   1.4 states/eV per cell
Magnetization   0.000 μB/atom
Symmetry   Cmmm (65)

No. 7
# BiIrRh2

An optimized crystal structure of BiIrRh2 (PBE-GGA, the Alexandria database).

a = 5.274 Å, b = 5.274 Å, c = 7.820 Å
α = 70.29°, β = 70.29°, γ = 90.00°
Sites, in units of the cell vectors:
Ir  0.500  0.500  0.000
Ir  0.250  0.750  0.500
Rh  0.568  0.125  0.250
Rh  0.182  0.625  0.250
Rh  0.375  0.432  0.750
Rh  0.875  0.818  0.750
Bi  0.000  0.000  0.000
Bi  0.750  0.250  0.500

Formation enthalpy at 0 K   15.91 kcal/mol of atoms
DOS at the Fermi energy   9.4 states/eV per cell
Magnetization   0.000 μB/atom
Symmetry   I-42d (122)